Run P
{
  "formula": "ThB4Au",
  "functional": "GGA-PBE",
  "state": "relaxed",
  "lattice_angstrom": [[-4.3540, 0.7942, 3.0456], [-2.6094, 4.3868, -1.6767], [1.5961, -4.9462, -1.3606]],
  "species": ["Au", "B", "B", "B", "B", "Th"],
  "fractional_positions": [[0.0000, 0.0000, 0.0000], [0.5354, 0.2286, 0.3067], [0.0781, 0.7714, 0.3067], [0.4646, 0.7714, 0.6933], [0.9219, 0.2286, 0.6933], [0.5000, 0.5000, 0.0000]]
}



Run Q
{
  "formula": "ThB4Au",
  "functional": "GGA-PBE",
  "state": "relaxed",
  "lattice_angstrom": [[-0.5619, 3.1885, -0.4944], [-2.2327, -2.2166, -0.9099], [-3.2474, 0.4814, 6.7957]],
  "species": ["Au", "B", "B", "B", "B", "Th"],
  "fractional_positions": [[0.0000, 0.0000, 0.5000], [0.6667, 0.3333, 0.2677], [0.3333, 0.6667, 0.2677], [0.6667, 0.3333, 0.7323], [0.3333, 0.6667, 0.7323], [0.0000, 0.0000, 0.0000]]
}



Of them, run P has the highest stability.